DFT (PBE-GGA) results for a relaxed Rb2Ac2PtO6 crystal.

a = 6.238 Å, b = 6.238 Å, c = 6.940 Å
α = 96.69°, β = 96.69°, γ = 119.11°
Fractional coordinates of all 11 atoms:
1 Rb 0.153 0.847 0.000
2 Rb 0.847 0.153 0.000
3 Ac 0.337 0.663 0.500
4 Ac 0.663 0.337 0.500
5 Pt 0.000 0.000 0.500
6 O 0.038 0.332 0.663
7 O 0.232 0.232 0.323
8 O 0.332 0.038 0.663
9 O 0.668 0.962 0.337
10 O 0.768 0.768 0.677
11 O 0.962 0.668 0.337

total DFT energy (no corrections)	-6.11	eV per atom